# Ca3WCl

Crystalline Ca3WCl at its relaxed geometry (GGA-PBEsol, Alexandria via LeMat-Bulk).

Cell: 5.1887 5.1887 5.1887 Å, 90.00 90.00 90.00°
Last column: nearest neighbours and their distance in Å.
Sites, in units of the cell vectors:
Ca 0.0000 0.0000 0.5000  2 Cl 2.59
Ca 0.0000 0.5000 0.0000  2 Cl 2.59
Ca 0.5000 0.0000 0.0000  2 Cl 2.59
W 0.5000 0.5000 0.5000  12 Ca 3.67
Cl 0.0000 0.0000 0.0000  6 Ca 2.59

Calculated values
* ΔE to the lowest computed polymorph: 0 meV per atom
* ρ: 4.04 Mg/m³
* DFT total energy: -4.01 eV per atom
* E_form (uncorrected): 0.433 eV per atom
* symmetry: Pm-3m
* V: 27.9 A^3/atom
* size of the total moment: 3.1 Bohr magnetons per cell

---

# CaWCl

Crystalline CaWCl at its relaxed geometry (GGA-PBEsol, Alexandria via LeMat-Bulk).

Cell: 7.4962 7.4924 2.9343 Å, 78.78 78.64 22.58°
Last column: nearest neighbours and their distance in Å.
Sites, in units of the cell vectors:
Ca 0.0000 0.0000 0.0000  4 Cl 2.69-2.71, 4 Ca 2.93
W 0.3295 0.3295 0.6705  4 W 2.93, 4 Ca 3.21-3.22
Cl 0.6199 0.6199 0.3801  4 Ca 2.69-2.71, 4 Cl 2.93

Calculated values
* ΔE to the lowest computed polymorph: 0 meV per atom
* ρ: 6.95 Mg/m³
* DFT total energy: -5.62 eV per atom
* E_form (uncorrected): 0.362 eV per atom
* symmetry: Fmm2
* V: 20.7 A^3/atom
* size of the total moment: 0.0 Bohr magnetons per cell